Computed, not measured: a relaxed structure of NdSmHo2S6 at the PBE-GGA level of DFT.

Summary:
N(E_F) (states/eV/cell): 0.0
Magnetization (μB per atom): 0.00
Uncorrected formation energy (eV/f.u.): -20.42
Uncorrected energy (eV/atom): -6.383

Unit cell a=7.0154 b=7.0154 c=18.5686 alpha=90.00 beta=90.00 gamma=120.00
Space group R3 (No. 146, hexagonal axes)
Inequivalent atoms, fractional coordinates:
Nd 0.0000 0.0000 0.0000 (multiplicity 3)
Sm 0.0000 0.0000 0.4977 (multiplicity 3)
Ho 0.0000 0.0000 0.2936 (multiplicity 3)
Ho 0.0000 0.0000 0.7949 (multiplicity 3)
S 0.0157 0.3072 0.8918 (multiplicity 9)
S 0.0219 0.7149 0.3919 (multiplicity 9)